# 1
CaCr2Ir | the Alexandria database | GGA-PBEsol | relaxed; magnetic moment = 0.6 μB per formula unit; SG = No. 216; E above lowest polymorph = 0.043 eV per atom; formation energy from the elements = 46.6 kJ per mole of atoms
1.0
-3.3205 -2.4133 1.7923
0.5951 -2.0515 3.9370
-2.1344 1.4880 3.6459
Ca Ir Cr
1 1 2
Cartesian
-2.4300 -1.4884 4.6876
-1.2150 -0.7442 2.3438
-3.6449 -2.2326 7.0314
0.0000 0.0000 0.0000


# 2
CaCr2Ir | the Alexandria database | GGA-PBEsol | relaxed; magnetic moment = 0.0 μB per formula unit; SG = No. 47; E above lowest polymorph = 0.000 eV per atom; formation energy from the elements = 42.5 kJ per mole of atoms
1.0
-2.2839 0.8122 -1.3685
-0.4713 -3.8043 -1.4713
-3.2994 -1.3996 4.6758
Cr Ca Ir
2 1 1
Cartesian
-2.7754 -1.1773 3.9332
-0.5240 -0.2223 0.7426
-3.0273 -2.1959 0.9180
-1.3776 -1.4960 -1.4199


# 3
CaCr3Ir | the Alexandria database | GGA-PBEsol | relaxed; magnetic moment = 0.0 μB per formula unit; SG = No. 221; formation energy from the elements = 237.2 kJ per mole of atoms
1.0
4.1042 0.0000 0.0000
0.0000 4.1042 0.0000
0.0000 0.0000 4.1042
Cr Ca Ir
3 1 1
Cartesian
0.0000 0.0000 2.0521
2.0521 0.0000 0.0000
0.0000 2.0521 0.0000
0.0000 0.0000 0.0000
2.0521 2.0521 2.0521


# 4
Ca2CrIr | the Alexandria database | GGA-PBEsol | relaxed; magnetic moment = 4.3 μB per formula unit; SG = No. 166; formation energy from the elements = 62.1 kJ per mole of atoms
1.0
-0.0323 -1.6091 -2.8698
2.7336 -1.4690 -1.0932
-1.6042 -9.0599 3.2118
Ir Ca Cr
1 2 1
Cartesian
0.0000 0.0000 0.0000
0.7421 -9.3623 -0.4174
0.3550 -2.7757 -0.3338
0.5485 -6.0690 -0.3756


# 5
Ca2CrIrO6 | the Alexandria database | GGA-PBEsol | relaxed; magnetic moment = 1.0 μB per formula unit; SG = No. 14; energy relative to the elements, uncorrected = -2.072 eV/atom
1.0
5.2736 0.0000 -0.0001
0.0000 5.4463 0.0000
-0.0076 0.0000 7.5382
O Ir Cr Ca
12 2 2 4
Cartesian
4.2496 1.1394 0.3537
4.1880 1.0746 3.4293
4.7954 2.6014 5.6986
3.6571 3.8625 3.4153
3.1036 5.3246 5.6086
1.5474 1.6486 7.1984
1.0781 4.3717 4.1089
3.7187 3.7978 0.3397
0.4706 2.8449 1.8396
1.0164 4.3070 7.1845
2.1624 0.1217 1.9295
1.6090 1.5838 4.1229
2.6368 0.0000 0.0000
-0.0038 2.7232 3.7691
2.6330 0.0000 3.7691
0.0000 2.7232 0.0000
0.0676 0.3012 5.6558
2.7082 2.4219 1.8866
5.1984 5.1451 1.8824
2.5578 3.0244 5.6516


# 6
K2CaCr | the Alexandria database | GGA-PBEsol | relaxed; magnetic moment = 5.2 μB per formula unit; SG = No. 47; E above lowest polymorph = 0.004 eV per atom; formation energy from the elements = 75.3 kJ per mole of atoms
1.0
-2.9184 2.2880 -3.2058
-1.8387 -4.5978 -1.6076
-4.5281 0.2958 4.3332
K Ca Cr
2 1 1
Cartesian
0.0000 0.0000 0.0000
-2.3785 -1.1549 -2.4067
-3.7233 1.2919 0.5637
-3.1834 -2.1510 1.3628


# 7
KCaCr2 | the Alexandria database | GGA-PBEsol | relaxed; magnetic moment = 0.3 μB per formula unit; SG = No. 99; E above lowest polymorph = 0.000 eV per atom; formation energy from the elements = 69.3 kJ per mole of atoms
1.0
-0.5138 -3.0224 1.1415
0.3709 -1.2034 -3.0193
9.3365 -1.0031 1.5466
K Cr Ca
1 2 1
Cartesian
4.1164 -0.4423 0.6819
0.6536 -0.0702 0.1083
1.3461 -2.2652 -0.7041
7.7457 -2.9528 0.3560


# 8
KCaCr2 | the Alexandria database | GGA-PBEsol | relaxed; magnetic moment = 9.9 μB per formula unit; SG = No. 123; E above lowest polymorph = 0.469 eV per atom; formation energy from the elements = 114.6 kJ per mole of atoms
1.0
-1.1764 -2.7519 -2.2062
2.3918 1.0789 -2.6210
6.1399 -5.3508 3.4004
Cr K Ca
2 1 1
Cartesian
4.3332 -3.7763 2.3999
1.8066 -1.5744 1.0006
0.6077 -0.8365 -2.4136
3.6777 -3.5119 -0.7134


# 9
K2CaCr | the Alexandria database | GGA-PBEsol | relaxed; magnetic moment = 5.1 μB per formula unit; SG = No. 119; E above lowest polymorph = 0.000 eV per atom; formation energy from the elements = 74.9 kJ per mole of atoms
1.0
6.0626 0.0000 0.0000
-3.0313 5.2593 0.0936
0.0000 3.4050 5.0160
K Cr Ca
2 1 1
Cartesian
0.0000 0.0000 0.0000
0.0000 3.4809 1.3008
3.0313 5.1834 3.8088
3.0313 1.7025 2.5080


# 10
Ca2LaCr | the Alexandria database | GGA-PBEsol | relaxed; magnetic moment = 4.4 μB per formula unit; SG = No. 12; E above lowest polymorph = 0.143 eV per atom; formation energy from the elements = 57.7 kJ per mole of atoms
1.0
3.4617 -0.0234 0.0000
-0.7489 6.2242 0.0000
-1.3564 -3.1004 5.7580
La Ca Cr
1 2 1
Cartesian
-0.3744 3.1121 0.0000
0.6782 1.5502 2.8790
-0.6782 -1.5502 2.8790
1.7309 -0.0117 0.0000


# 11
CaLaCr2 | the Alexandria database | GGA-PBEsol | relaxed; magnetic moment = 0.4 μB per formula unit; SG = No. 99; E above lowest polymorph = 0.000 eV per atom; formation energy from the elements = 46.8 kJ per mole of atoms
1.0
-2.8779 1.0049 -0.9251
-0.0388 -2.2168 -2.2874
-3.7352 -5.6226 5.5126
La Cr Ca
1 2 1
Cartesian
-1.6297 -2.4532 2.4052
-2.1002 -1.5721 -0.6590
-0.2807 -0.4225 0.4142
-4.5090 -5.1980 2.8960


# 12
CaLaCr2 | the Alexandria database | GGA-PBEsol | relaxed; magnetic moment = 8.5 μB per formula unit; SG = No. 216; E above lowest polymorph = 0.450 eV per atom; formation energy from the elements = 90.2 kJ per mole of atoms
1.0
5.0494 0.0000 0.0000
2.5247 4.3729 0.0000
2.5247 1.4576 4.1228
La Cr Ca
1 2 1
Cartesian
2.5247 1.4576 1.0307
7.5741 4.3729 3.0921
0.0000 0.0000 0.0000
5.0494 2.9153 2.0614